1.
# K2TmPaSe4

A relaxed K2TmPaSe4 crystal (GGA-PBE, Alexandria via LeMat-Bulk).

Cell: 7.2673 4.1360 8.1141 Å, 90.00 106.91 90.00°
Space group P2/m (No. 10)
Symmetry-distinct sites (fractional):
K: 0.0000 0.0000 0.0000 (multiplicity 1)
K: 0.5000 0.5000 0.0000 (multiplicity 1)
Tm: 0.0000 0.5000 0.5000 (multiplicity 1)
Pa: 0.5000 0.0000 0.5000 (multiplicity 1)
Se: 0.2314 0.0000 0.7052 (multiplicity 2)
Se: 0.2571 0.5000 0.2895 (multiplicity 2)

- density of states at the Fermi level (states/eV/f.u.) = 7.03
- E_form (uncorrected) (eV/atom) = -1.508

=====

2.
# Li2CdRhO4

A relaxed Li2CdRhO4 crystal (GGA-PBE, Alexandria via LeMat-Bulk).

Cell: 5.3799 3.0930 5.7433 Å, 90.00 115.10 90.00°
Space group P2/m (No. 10)
Symmetry-distinct sites (fractional):
Li: 0.0000 0.0000 0.0000 (multiplicity 1)
Li: 0.0000 0.5000 0.5000 (multiplicity 1)
Cd: 0.5000 0.0000 0.5000 (multiplicity 1)
Rh: 0.5000 0.5000 0.0000 (multiplicity 1)
O: 0.2575 0.0000 0.7712 (multiplicity 2)
O: 0.2691 0.5000 0.1986 (multiplicity 2)

- density of states at the Fermi level (states/eV/f.u.) = 3.64
- E_form (uncorrected) (eV/atom) = -1.213

=====

3.
# GdPaN

A relaxed GdPaN crystal (GGA-PBE, Alexandria via LeMat-Bulk).

Cell: 3.4705 3.4705 6.0132 Å, 90.00 90.00 120.00°
Space group P3m1 (No. 156)
Symmetry-distinct sites (fractional):
Gd: 0.0000 0.0000 0.0000 (multiplicity 1)
Pa: 0.6667 0.3333 0.5325 (multiplicity 1)
N: 0.3333 0.6667 0.7498 (multiplicity 1)

- density of states at the Fermi level (states/eV/f.u.) = 4.13
- E_form (uncorrected) (eV/atom) = -0.834
- distance to the lowest polymorph of the same formula (kJ per mole of atoms) = 0.0

=====

4.
# LaBe3Pt

A relaxed LaBe3Pt crystal (GGA-PBE, Alexandria via LeMat-Bulk).

Cell: 4.2846 4.2846 18.8897 Å, 90.00 90.00 120.00°
Space group R3m (No. 160, hexagonal axes)
Symmetry-distinct sites (fractional):
La: 0.0000 0.0000 0.0000 (multiplicity 3)
Be: 0.1685 0.3371 0.8462 (multiplicity 9)
Pt: 0.0000 0.0000 0.7429 (multiplicity 3)

- density of states at the Fermi level (states/eV/f.u.) = 3.77
- distance to the lowest polymorph of the same formula (kJ per mole of atoms) = 61.4

=====

Q: Which of these has the highest density of states at the Fermi level?
A: K2TmPaSe4